(1)
## Li2Zn2Cu (GGA-PBE)

Data for a relaxed structure of Li2Zn2Cu.

Energy relative to the lowest polymorph listed for this composition (eV per formula unit): 0.31

a b c (Å): 5.006 12.492 4.822
angles (deg): 90.00 90.00 90.00
Space group Ibam (No. 72)
Inequivalent atoms, fractional coordinates:
Li 0.154 0.185 0.000 x8
Zn 0.128 0.405 0.000 x8
Cu 0.000 0.000 0.250 x4

---

(2)
## Li4ZnCu4 (GGA-PBE)

Data for a relaxed structure of Li4ZnCu4.

Energy relative to the lowest polymorph listed for this composition (eV per formula unit): 0.00

a b c (Å): 7.745 7.745 3.931
angles (deg): 90.00 90.00 90.00
Space group I4/mmm (No. 139)
Inequivalent atoms, fractional coordinates:
Li 0.169 0.169 0.000 x8
Zn 0.000 0.000 0.500 x2
Cu 0.000 0.341 0.500 x8

---

(3)
## Li2Zn3Cu4 (GGA-PBE)

Data for a relaxed structure of Li2Zn3Cu4.

a b c (Å): 8.250 3.734 7.870
angles (deg): 90.00 106.82 90.00
Space group C2/m (No. 12)
Inequivalent atoms, fractional coordinates:
Li 0.170 0.000 0.220 x4
Zn 0.000 0.500 0.000 x2
Zn 0.164 0.000 0.561 x4
Cu 0.005 0.500 0.333 x4
Cu 0.165 0.000 0.890 x4

---

(4)
## LiZnCu (GGA-PBE)

Data for a relaxed structure of LiZnCu.

Energy relative to the lowest polymorph listed for this composition (eV per formula unit): 0.00

a b c (Å): 4.990 5.041 7.072
angles (deg): 90.00 90.00 90.00
Space group Imma (No. 74)
Inequivalent atoms, fractional coordinates:
Li 0.000 0.250 0.121 x4
Zn 0.000 0.000 0.500 x4
Cu 0.250 0.250 0.750 x4

---

(5)
## LiZn2Cu (GGA-PBE)

Data for a relaxed structure of LiZn2Cu.

a b c (Å): 2.6775 2.6775 26.7166
angles (deg): 90.00 90.00 120.00
Space group R-3m (No. 166, hexagonal axes)
Inequivalent atoms, fractional coordinates:
Li 0.0000 0.0000 0.0000 x3
Zn 0.0000 0.0000 0.2475 x6
Cu 0.0000 0.0000 0.5000 x3

---

(6)
## LiZn4Cu6 (GGA-PBE)

Data for a relaxed structure of LiZn4Cu6.

Energy relative to the lowest polymorph listed for this composition (eV per formula unit): 0.00

a b c (Å): 4.130 7.161 19.536
angles (deg): 90.00 90.00 90.00
Space group Cmcm (No. 63)
Inequivalent atoms, fractional coordinates:
Li 0.000 0.166 0.250 x4
Zn 0.000 0.167 0.546 x8
Zn 0.000 0.499 0.129 x8
Cu 0.000 0.166 0.093 x8
Cu 0.000 0.168 0.683 x8
Cu 0.000 0.499 0.250 x4
Cu 0.000 0.500 0.000 x4

---

(7)
## Li5Zn2Cu5 (GGA-PBE)

Data for a relaxed structure of Li5Zn2Cu5.

a b c (Å): 8.805 4.231 8.882
angles (deg): 90.00 109.06 90.00
Space group C2/m (No. 12)
Inequivalent atoms, fractional coordinates:
Li 0.000 0.000 0.000 x2
Li 0.088 0.000 0.750 x4
Li 0.172 0.000 0.493 x4
Zn 0.082 0.500 0.248 x4
Cu 0.000 0.500 0.500 x2
Cu 0.167 0.500 0.005 x4
Cu 0.243 0.500 0.757 x4

---

(8)
## LiZn2Cu3 (GGA-PBE)

Data for a relaxed structure of LiZn2Cu3.

Energy relative to the lowest polymorph listed for this composition (eV per formula unit): 0.45

a b c (Å): 8.724 8.025 4.981
angles (deg): 90.00 90.00 90.00
Space group Cmcm (No. 63)
Inequivalent atoms, fractional coordinates:
Li 0.000 0.123 0.250 x4
Zn 0.153 0.246 0.750 x8
Cu 0.000 0.478 0.250 x4
Cu 0.248 0.500 0.000 x8

---

Number 1: total magnetization 0.00 μB/atom, energy relative to the elements -0.113 eV per atom. Number 2: total magnetization 0.00 μB/atom, energy relative to the elements -0.075 eV per atom. Number 3: total magnetization 0.00 μB/atom, energy relative to the elements -0.119 eV per atom. Number 4: total magnetization 0.00 μB/atom, energy relative to the elements -0.144 eV per atom. Number 5: total magnetization 0.00 μB/atom, energy relative to the elements -0.105 eV per atom. Number 6: total magnetization 0.00 μB/atom, energy relative to the elements -0.036 eV per atom. Number 7: total magnetization 0.00 μB/atom, energy relative to the elements -0.095 eV per atom. Number 8: total magnetization 0.00 μB/atom, energy relative to the elements -0.021 eV per atom.